KBaHg2Pt (PBE, optimized geometry); VASP energy = -11.2 eV per formula unit; DFT formation energy = -1.51 eV/f.u.; total magnetic moment = 0.00 μB per formula unit; symmetry = No. 123; crystal system = tetragonal; calculated volume = 35.29 Å³/atom
1.0
5.510 0.000 0.000
0.000 5.510 0.000
0.000 0.000 5.811
K Ba Hg Pt
1 1 2 1
direct
0.000 0.000 0.000
0.500 0.500 0.000
0.000 0.500 0.500
0.500 0.000 0.500
0.500 0.500 0.500



Np2Te2H (PBE, optimized geometry); VASP energy = -38.4 eV per formula unit; total magnetic moment = 8.95 μB per formula unit; symmetry = No. 72; crystal system = orthorhombic; calculated volume = 23.83 Å³/atom
1.0
-3.131 6.233 3.053
3.131 -6.233 3.053
3.131 6.233 -3.053
Np Te H
4 4 2
direct
0.102 0.193 0.295
0.398 0.693 0.092
0.602 0.307 0.908
0.898 0.807 0.705
0.144 0.694 0.839
0.356 0.194 0.550
0.644 0.806 0.450
0.856 0.306 0.161
0.250 0.250 0.000
0.750 0.750 0.000



Pb4Se2Br3 (PBE, optimized geometry); formation energy from raw total energies = -0.631 eV/atom; VASP energy = -32.5 eV per formula unit; total magnetic moment = 0.00 μB per formula unit; symmetry = No. 12; crystal system = monoclinic; calculated volume = 34.12 Å³/atom
1.0
3.933 -2.261 0.000
3.933 2.261 0.000
-0.056 0.000 17.262
Pb Se Br
4 2 3
direct
0.000 0.000 0.189
0.000 0.000 0.811
0.334 0.334 0.619
0.666 0.666 0.381
0.333 0.333 0.293
0.667 0.667 0.707
0.000 0.000 0.500
0.334 0.334 0.903
0.666 0.666 0.097



ErTmBi (PBE, optimized geometry); VASP energy = -13.6 eV per formula unit; DFT formation energy = -0.70 eV/f.u.; total magnetic moment = 0.00 μB per formula unit; symmetry = No. 156; crystal system = trigonal; calculated volume = 29.81 Å³/atom
1.0
5.219 0.000 0.000
-2.610 4.520 0.000
0.000 0.000 3.792
Er Tm Bi
1 1 1
direct
0.000 0.000 0.000
0.667 0.333 0.536
0.333 0.667 0.276



La4Ir2F (PBE, optimized geometry); formation energy from raw total energies = -1.309 eV/atom; VASP energy = -48.5 eV per formula unit; total magnetic moment = 0.00 μB per formula unit; symmetry = No. 227; crystal system = cubic; calculated volume = 29.41 Å³/atom
1.0
0.000 5.905 5.905
5.905 0.000 5.905
5.905 5.905 0.000
La Ir F
8 4 2
direct
0.232 0.756 0.756
0.244 0.244 0.244
0.244 0.244 0.768
0.244 0.768 0.244
0.756 0.232 0.756
0.756 0.756 0.232
0.756 0.756 0.756
0.768 0.244 0.244
0.000 0.000 0.000
0.000 0.000 0.500
0.000 0.500 0.000
0.500 0.000 0.000
0.375 0.375 0.375
0.625 0.625 0.625



Li2WAu (PBE, optimized geometry); polymorph energy (0 for the lowest one) = 39 meV per atom; VASP energy = -19.5 eV per formula unit; DFT formation energy = 0.52 eV/f.u.; total magnetic moment = 0.00 μB per formula unit; symmetry = No. 123; crystal system = tetragonal; calculated volume = 15.46 Å³/atom
1.0
2.697 0.000 0.000
0.000 2.697 0.000
0.000 0.000 8.498
Li W Au
2 1 1
direct
0.000 0.000 0.236
0.000 0.000 0.764
0.500 0.500 0.500
0.500 0.500 0.000